A relaxed structure of RbCdN, computed with PBE.

It has space group C2/m (No. 12), with a = 21.487 Å, b = 3.732 Å, c = 4.231 Å, α = 90.00°, β = 98.21° and γ = 90.00°. Symmetry generates all atoms from Rb at (0.093, 0.000, 0.139), Cd at (0.224, 0.500, 0.731) and N at (0.018, 0.500, 0.618).

The value obtained for the total magnetic moment is 1.95 μB per cell. As for the total energy: -3.45 eV per atom. Its crystal system is monoclinic. The raw formation energy is -0.0485 eV per atom.